Here is crystalline MoP2O8 at its relaxed geometry from Alexandria via LeMat-Bulk. Energies are from PBE+U.

## Properties
As for the total energy: -75.6 eV per formula unit.

Cell and atoms, written as CIF:
```
data_MoP2O8
_chemical_formula_sum 'Mo2 P4 O16'
_symmetry_space_group_name_H-M 'C 1 2/m 1'
_symmetry_Int_Tables_number 12
_symmetry_space_group_name_Hall '-C 2y'
_cell_length_a 11.7288
_cell_length_b 6.0182
_cell_length_c 4.7286
_cell_angle_alpha 90.00
_cell_angle_beta 94.72
_cell_angle_gamma 90.00
loop_
_atom_site_label
_atom_site_fract_x
_atom_site_fract_y
_atom_site_fract_z
Mo1 0.0000 0.0000 0.0000
P1 0.1633 0.0000 0.6377
O1 0.0955 0.1977 0.7880
O2 0.1163 0.0000 0.3180
O3 0.2116 0.5000 0.3144
```